The following is a SCAN calculation of a PBEsol-optimized structure of Ca10VP5O24F2, from the Alexandria database.

Cell lengths 6.862, 9.384, 9.394 Å; angles 119.64, 90.00, 90.00 degrees
Sites, in units of the cell vectors:
O 0.000 0.308 0.066
O 0.500 0.465 0.839
P 0.000 0.968 0.610
O 0.000 0.529 0.654
F 0.500 0.992 0.246
F 0.000 0.998 0.243
Ca 0.748 0.665 0.581
O 0.682 0.652 0.158
O 0.319 0.078 0.989
Ca 0.500 0.751 0.998
P 0.000 0.626 0.844
O 0.500 0.404 0.123
O 0.000 0.604 0.379
P 0.500 0.025 0.876
O 0.500 0.667 0.403
O 0.319 0.255 0.593
O 0.182 0.739 0.901
Ca 0.750 0.328 0.906
Ca 0.252 0.665 0.581
O 0.500 0.486 0.579
V 0.000 0.393 0.275
O 0.818 0.739 0.901
P 0.500 0.595 0.215
O 0.182 0.913 0.498
O 0.681 0.078 0.989
Ca 0.500 0.995 0.491
O 0.318 0.652 0.158
O 0.000 0.155 0.724
P 0.500 0.368 0.648
O 0.805 0.331 0.341
Ca 0.000 0.237 0.496
Ca 0.000 0.753 0.241
O 0.681 0.255 0.593
O 0.000 0.509 0.916
Ca 0.250 0.328 0.906
O 0.500 0.119 0.780
O 0.000 0.876 0.711
Ca 0.500 0.234 0.244
Ca 0.000 0.996 0.997
O 0.500 0.838 0.758
O 0.195 0.331 0.341
O 0.818 0.913 0.498

Values from the calculation:
VASP energy	-10.972	eV/atom
total magnetic moment	0.000	μB/f.u.
symmetry	Pm (6)